This record from the Alexandria database describes La3TmSb3 after structural relaxation. The functional is PBE.

* formation energy without anion corrections: -1.06 eV/atom
* mass density: 7.234 g/cm³

Lattice parameters (Å, degrees): 9.5577 9.5577 9.5577 90.00 90.00 90.00
Element x y z (fractional)
La  0.0656  0.4344  0.5656
La  0.1752  0.8248  0.3248
La  0.1781  0.1781  0.1781
La  0.3219  0.8219  0.6781
La  0.3248  0.1752  0.8248
La  0.4344  0.5656  0.0656
La  0.5656  0.0656  0.4344
La  0.6752  0.6752  0.6752
La  0.6781  0.3219  0.8219
La  0.8219  0.6781  0.3219
La  0.8248  0.3248  0.1752
La  0.9344  0.9344  0.9344
Tm  0.0721  0.5721  0.9279
Tm  0.4279  0.4279  0.4279
Tm  0.5721  0.9279  0.0721
Tm  0.9279  0.0721  0.5721
Sb  0.0032  0.2596  0.8683
Sb  0.1317  0.5032  0.2404
Sb  0.2404  0.1317  0.5032
Sb  0.2596  0.8683  0.0032
Sb  0.3683  0.4968  0.7404
Sb  0.4968  0.7404  0.3683
Sb  0.5032  0.2404  0.1317
Sb  0.6317  0.9968  0.7596
Sb  0.7404  0.3683  0.4968
Sb  0.7596  0.6317  0.9968
Sb  0.8683  0.0032  0.2596
Sb  0.9968  0.7596  0.6317